# Pm3Co3Os (GGA-PBE, relaxed)
# Calculated volume   20.3 A^3/atom
# Energy relative to the elements   -0.041 eV per atom
data_Pm3Co3Os
_chemical_formula_sum 'Pm12 Co12 Os4'
_symmetry_space_group_name_H-M 'C 1 2/m 1'
_symmetry_Int_Tables_number 12
_cell_length_a 11.3855
_cell_length_b 4.0682
_cell_length_c 13.4752
_cell_angle_alpha 90.00
_cell_angle_beta 114.17
_cell_angle_gamma 90.00
loop_
_symmetry_equiv_pos_as_xyz
'x,y,z'
'-x,-y,-z'
'-x,y,-z'
'x,-y,z'
'x+1/2,y+1/2,z'
'-x+1/2,-y+1/2,-z'
'-x+1/2,y+1/2,-z'
'x+1/2,-y+1/2,z'
loop_
_atom_site_label
_atom_site_type_symbol
_atom_site_fract_x
_atom_site_fract_y
_atom_site_fract_z
Pm1 Pm 0.0105 0.0000 0.3684
Pm2 Pm 0.1000 0.0000 0.9249
Pm3 Pm 0.2444 0.0000 0.2331
Co1 Co 0.0877 0.5000 0.2488
Co2 Co 0.0932 0.5000 0.0773
Co3 Co 0.1173 0.5000 0.5411
Os1 Os 0.2476 0.0000 0.5672